Below is crystalline ThVAu at its relaxed geometry, with properties calculated at the PBE-GGA level.

As for the magnetic moment: 0.0007 μB per atom. As for the energy relative to the elements: -67 meV per atom. The calculation puts the density at 12.14 g/cm³.

```
data_ThVAu
_chemical_formula_sum 'Th2 V2 Au2'
_symmetry_space_group_name_H-M 'P 4/n m m'
_symmetry_Int_Tables_number 129
_cell_length_a 4.001
_cell_length_b 4.001
_cell_length_c 8.207
_cell_angle_alpha 90.00
_cell_angle_beta 90.00
_cell_angle_gamma 90.00
loop_
_symmetry_equiv_pos_as_xyz
'x,y,z'
'-x,-y,-z'
'-y+1/2,x,z'
'y+1/2,-x,-z'
'-x+1/2,-y+1/2,z'
'x+1/2,y+1/2,-z'
'y,-x+1/2,z'
'-y,x+1/2,-z'
'x+1/2,-y,-z'
'-x+1/2,y,z'
'-y,-x,-z'
'y,x,z'
'-x,y+1/2,-z'
'x,-y+1/2,z'
'y+1/2,x+1/2,-z'
'-y+1/2,-x+1/2,z'
loop_
_atom_site_label
_atom_site_fract_x
_atom_site_fract_y
_atom_site_fract_z
Th1 0.250 0.250 0.143
V1 0.250 0.750 0.500
Au1 0.250 0.250 0.727
```

Below is crystalline Tb3Y2Hg2 at its relaxed geometry, with properties calculated at the PBE-GGA level.

As for the magnetic moment: 0.0000 μB per atom. The energy above the most stable polymorph in this dataset comes out at 0.0000 eV/atom. As for the energy relative to the elements: -254 meV per atom. The calculation puts the density at 8.84 g/cm³.

```
data_Tb3Y2Hg2
_chemical_formula_sum 'Tb6 Y4 Hg4'
_symmetry_space_group_name_H-M 'C 1 2/m 1'
_symmetry_Int_Tables_number 12
_symmetry_space_group_name_Hall '-C 2y'
_cell_length_a 9.290
_cell_length_b 5.368
_cell_length_c 8.538
_cell_angle_alpha 90.00
_cell_angle_beta 111.32
_cell_angle_gamma 90.00
loop_
_atom_site_label
_atom_site_fract_x
_atom_site_fract_y
_atom_site_fract_z
Tb1 0.000 0.000 0.000
Tb2 0.158 0.000 0.474
Y1 0.076 0.500 0.727
Hg1 0.213 0.500 0.139
```

Below is crystalline Cr2Os at its relaxed geometry, with properties calculated at the PBE-GGA level.

As for the magnetic moment: 0.0000 μB per atom. As for the energy relative to the elements: 237 meV per atom. The calculation puts the density at 12.60 g/cm³.

```
data_Cr2Os
_chemical_formula_sum 'Cr2 Os1'
_symmetry_space_group_name_H-M 'P -3 m 1'
_symmetry_Int_Tables_number 164
_symmetry_space_group_name_Hall '-P 3 2"'
_cell_length_a 2.6541
_cell_length_b 2.6541
_cell_length_c 6.3536
_cell_angle_alpha 90.00
_cell_angle_beta 90.00
_cell_angle_gamma 120.00
loop_
_atom_site_label
_atom_site_fract_x
_atom_site_fract_y
_atom_site_fract_z
Cr1 0.3333 0.6667 0.1628
Os1 0.0000 0.0000 0.5000
```